This record from the Alexandria database describes a relaxed structure of Ce2TmPt. The functional is PBE-GGA.

abc: 3.610 3.610 30.964
angles: 90.00 90.00 120.00
Atoms (fractional coordinates):
Ce 0.000 0.000 0.103
Ce 0.000 0.000 0.897
Ce 0.333 0.667 0.564
Ce 0.333 0.667 0.769
Ce 0.667 0.333 0.231
Ce 0.667 0.333 0.436
Tm 0.000 0.000 0.000
Tm 0.333 0.667 0.667
Tm 0.667 0.333 0.333
Pt 0.000 0.000 0.500
Pt 0.333 0.667 0.167
Pt 0.667 0.333 0.833

Results
**Formation energy**: -0.172 eV/atom
**Crystal system**: trigonal
**Magnetization**: 2.28 μB per formula unit
**SG**: R-3m (166)
**Calculated total energy**: -0.2119 Ha/atom

***

This record from the Alexandria database describes a relaxed structure of SmY7Al4. The functional is PBE-GGA.

abc: 7.476 7.476 10.493
angles: 121.80 121.80 43.14
Atoms (fractional coordinates):
Sm 0.000 0.000 0.000
Y 0.066 0.066 0.388
Y 0.213 0.213 0.878
Y 0.301 0.301 0.358
Y 0.500 0.500 0.000
Y 0.699 0.699 0.642
Y 0.787 0.787 0.122
Y 0.934 0.934 0.612
Al 0.323 0.323 0.669
Al 0.445 0.445 0.236
Al 0.555 0.555 0.764
Al 0.677 0.677 0.331

Results
**Formation energy**: -0.084 eV/atom
**Crystal system**: monoclinic
**Magnetization**: 0.35 μB per formula unit
**SG**: C2/m (12)
**Calculated total energy**: -0.2019 Ha/atom

***

Number 2 is which compound?
SmY7Al4

***

Among the records above, which one has the lowest magnetization?
SmY7Al4

***

What is the formation energy in the second record?
-0.084 eV/atom